The following is a GGA+U calculation of an optimized crystal structure of Fe2Ag2IrO6, from Alexandria via LeMat-Bulk.

The structure in POSCAR format:
```
Fe2Ag2IrO6
1.0
5.0951 0.0619 -0.3893
-2.4645 4.4599 -0.3893
-1.4105 -2.4245 6.4606
Fe O Ir Ag
2 6 1 2
Direct
0.3326 0.6674 0.5000
0.6674 0.3326 0.5000
0.4622 0.1211 0.6682
0.1211 0.4622 0.6682
0.2166 0.2166 0.3288
0.7834 0.7834 0.6712
0.8789 0.5378 0.3318
0.5378 0.8789 0.3318
0.0000 0.0000 0.5000
0.1811 0.8189 0.0000
0.8189 0.1811 0.0000
```

Calculated values
Space-group type: C2/m (12)
DOS(E_F) in states/eV/f.u.: 3.27
Electronic total energy in eV per atom: -5.58